1.
# Sc2CrHBr (PBE, relaxed)
# density of states at the Fermi level: 3.0 states/eV/cell
# total energy: -5.296 eV/atom
# magnetization: 0.4 Bohr magnetons per cell
data_Sc2CrHBr
_cell_length_a 5.139
_cell_length_b 5.139
_cell_length_c 3.312
_cell_angle_alpha 90.00
_cell_angle_beta 90.00
_cell_angle_gamma 90.00
_symmetry_space_group_name_H-M 'P 4/m m m'
_symmetry_Int_Tables_number 123
_symmetry_space_group_name_Hall '-P 4 2'
loop_
_atom_site_label
_atom_site_fract_x
_atom_site_fract_y
_atom_site_fract_z
Sc1 0.000 0.500 0.000
Cr1 0.000 0.000 0.000
H1 0.000 0.000 0.500
Br1 0.500 0.500 0.500

***

2.
# CrHSe2Br (PBE, relaxed)
# density of states at the Fermi level: 2.3 states/eV/cell
# magnetization: 4.6 Bohr magnetons per cell
# energy above the lowest structure with this stoichiometry: 0.000 eV per atom
data_CrHSe2Br
_cell_length_a 3.923
_cell_length_b 3.923
_cell_length_c 6.931
_cell_angle_alpha 90.00
_cell_angle_beta 90.00
_cell_angle_gamma 90.00
_symmetry_space_group_name_H-M 'P 4/m m m'
_symmetry_Int_Tables_number 123
_symmetry_space_group_name_Hall '-P 4 2'
loop_
_atom_site_label
_atom_site_fract_x
_atom_site_fract_y
_atom_site_fract_z
Cr1 0.000 0.000 0.000
H1 0.500 0.500 0.500
Se1 0.000 0.500 0.500
Br1 0.500 0.500 0.000

***

3.
# CrHSeBr2 (PBE, relaxed)
# density of states at the Fermi level: 3.0 states/eV/cell
# magnetization: 3.2 Bohr magnetons per cell
# energy above the lowest structure with this stoichiometry: 0.000 eV per atom
data_CrHSeBr2
_cell_length_a 5.180
_cell_length_b 5.180
_cell_length_c 4.721
_cell_angle_alpha 90.00
_cell_angle_beta 90.00
_cell_angle_gamma 90.00
_symmetry_space_group_name_H-M 'P 4/m m m'
_symmetry_Int_Tables_number 123
_symmetry_space_group_name_Hall '-P 4 2'
loop_
_atom_site_label
_atom_site_fract_x
_atom_site_fract_y
_atom_site_fract_z
Cr1 0.000 0.000 0.000
H1 0.500 0.500 0.500
Se1 0.000 0.000 0.500
Br1 0.000 0.500 0.000

***

4.
# CrHSe2Br (PBE, relaxed)
# density of states at the Fermi level: 5.0 states/eV/cell
# magnetization: 0.0 Bohr magnetons per cell
# energy above the lowest structure with this stoichiometry: 0.246 eV per atom
data_CrHSe2Br
_cell_length_a 4.576
_cell_length_b 4.576
_cell_length_c 5.315
_cell_angle_alpha 90.00
_cell_angle_beta 90.00
_cell_angle_gamma 90.00
_symmetry_space_group_name_H-M 'P 4/m m m'
_symmetry_Int_Tables_number 123
_symmetry_space_group_name_Hall '-P 4 2'
loop_
_atom_site_label
_atom_site_fract_x
_atom_site_fract_y
_atom_site_fract_z
Cr1 0.000 0.000 0.000
H1 0.500 0.500 0.500
Se1 0.000 0.500 0.000
Br1 0.000 0.000 0.500

***

5.
# CrHSeBr2 (PBE, relaxed)
# density of states at the Fermi level: 5.3 states/eV/cell
# magnetization: 3.7 Bohr magnetons per cell
# energy above the lowest structure with this stoichiometry: 0.204 eV per atom
data_CrHSeBr2
_cell_length_a 5.320
_cell_length_b 5.320
_cell_length_c 3.538
_cell_angle_alpha 90.00
_cell_angle_beta 90.00
_cell_angle_gamma 90.00
_symmetry_space_group_name_H-M 'P 4/m m m'
_symmetry_Int_Tables_number 123
_symmetry_space_group_name_Hall '-P 4 2'
loop_
_atom_site_label
_atom_site_fract_x
_atom_site_fract_y
_atom_site_fract_z
Cr1 0.000 0.000 0.000
H1 0.500 0.500 0.500
Se1 0.500 0.500 0.000
Br1 0.000 0.500 0.500

***

6.
# HfCr3Br (PBE, relaxed)
# energy relative to the elements, uncorrected: 1.71 eV/atom
# density of states at the Fermi level: 6.7 states/eV/cell
# magnetization: 10.8 Bohr magnetons per cell
# energy above the lowest structure with this stoichiometry: 0.619 eV per atom
data_HfCr3Br
_cell_length_a 4.972
_cell_length_b 4.972
_cell_length_c 4.972
_cell_angle_alpha 90.00
_cell_angle_beta 90.00
_cell_angle_gamma 90.00
_symmetry_space_group_name_H-M 'P m -3 m'
_symmetry_Int_Tables_number 221
_symmetry_space_group_name_Hall '-P 4 2 3'
loop_
_atom_site_label
_atom_site_fract_x
_atom_site_fract_y
_atom_site_fract_z
Hf1 0.000 0.000 0.000
Cr1 0.000 0.000 0.500
Br1 0.500 0.500 0.500

***

7.
# HfCr2Br (PBE, relaxed)
# energy relative to the elements, uncorrected: 0.77 eV/atom
# density of states at the Fermi level: 10.1 states/eV/cell
# magnetization: 28.2 Bohr magnetons per cell
# energy above the lowest structure with this stoichiometry: 0.000 eV per atom
data_HfCr2Br
_cell_length_a 7.451
_cell_length_b 7.451
_cell_length_c 5.577
_cell_angle_alpha 90.00
_cell_angle_beta 90.00
_cell_angle_gamma 90.00
_symmetry_space_group_name_H-M 'I -4 2 d'
_symmetry_Int_Tables_number 122
_symmetry_space_group_name_Hall 'I -4 2bw'
loop_
_atom_site_label
_atom_site_fract_x
_atom_site_fract_y
_atom_site_fract_z
Hf1 0.000 0.000 0.000
Cr1 0.216 0.750 0.625
Br1 0.000 0.000 0.500

***

8.
# HfCrBr2 (PBE, relaxed)
# energy relative to the elements, uncorrected: -0.08 eV/atom
# density of states at the Fermi level: 4.7 states/eV/cell
# magnetization: 15.0 Bohr magnetons per cell
# energy above the lowest structure with this stoichiometry: 0.000 eV per atom
data_HfCrBr2
_cell_length_a 3.3636
_cell_length_b 3.3636
_cell_length_c 29.7228
_cell_angle_alpha 90.00
_cell_angle_beta 90.00
_cell_angle_gamma 120.00
_symmetry_space_group_name_H-M 'R -3 m'
_symmetry_Int_Tables_number 166
_symmetry_space_group_name_Hall '-R 3 2"'
loop_
_atom_site_label
_atom_site_fract_x
_atom_site_fract_y
_atom_site_fract_z
Hf1 0.0000 0.0000 0.0000
Cr1 0.0000 0.0000 0.5000
Br1 0.0000 0.0000 0.3993

***

9.
# HfCrBr3 (PBE, relaxed)
# energy relative to the elements, uncorrected: -0.09 eV/atom
# density of states at the Fermi level: 3.3 states/eV/cell
# magnetization: 5.6 Bohr magnetons per cell
# energy above the lowest structure with this stoichiometry: 0.000 eV per atom
data_HfCrBr3
_cell_length_a 5.281
_cell_length_b 5.281
_cell_length_c 5.281
_cell_angle_alpha 90.00
_cell_angle_beta 90.00
_cell_angle_gamma 90.00
_symmetry_space_group_name_H-M 'P m -3 m'
_symmetry_Int_Tables_number 221
_symmetry_space_group_name_Hall '-P 4 2 3'
loop_
_atom_site_label
_atom_site_fract_x
_atom_site_fract_y
_atom_site_fract_z
Hf1 0.000 0.000 0.000
Cr1 0.500 0.500 0.500
Br1 0.000 0.000 0.500

***

10.
# HfCr3Br (PBE, relaxed)
# energy relative to the elements, uncorrected: 1.09 eV/atom
# density of states at the Fermi level: 3.2 states/eV/cell
# magnetization: 2.7 Bohr magnetons per cell
# energy above the lowest structure with this stoichiometry: 0.000 eV per atom
data_HfCr3Br
_cell_length_a 4.373
_cell_length_b 4.373
_cell_length_c 4.373
_cell_angle_alpha 90.00
_cell_angle_beta 90.00
_cell_angle_gamma 90.00
_symmetry_space_group_name_H-M 'P m -3 m'
_symmetry_Int_Tables_number 221
_symmetry_space_group_name_Hall '-P 4 2 3'
loop_
_atom_site_label
_atom_site_fract_x
_atom_site_fract_y
_atom_site_fract_z
Hf1 0.000 0.000 0.000
Cr1 0.000 0.500 0.500
Br1 0.500 0.500 0.500

***

11.
# HfCrBr2 (PBE, relaxed)
# energy relative to the elements, uncorrected: 0.27 eV/atom
# density of states at the Fermi level: 12.0 states/eV/cell
# magnetization: 15.7 Bohr magnetons per cell
# energy above the lowest structure with this stoichiometry: 0.350 eV per atom
data_HfCrBr2
_cell_length_a 6.763
_cell_length_b 6.763
_cell_length_c 6.763
_cell_angle_alpha 90.00
_cell_angle_beta 90.00
_cell_angle_gamma 90.00
_symmetry_space_group_name_H-M 'F m -3 m'
_symmetry_Int_Tables_number 225
_symmetry_space_group_name_Hall '-F 4 2 3'
loop_
_atom_site_label
_atom_site_fract_x
_atom_site_fract_y
_atom_site_fract_z
Hf1 0.000 0.000 0.000
Cr1 0.000 0.000 0.500
Br1 0.250 0.250 0.250

***

12.
# HfCrBr2 (PBE, relaxed)
# energy relative to the elements, uncorrected: 0.47 eV/atom
# density of states at the Fermi level: 15.5 states/eV/cell
# magnetization: 9.2 Bohr magnetons per cell
# energy above the lowest structure with this stoichiometry: 0.546 eV per atom
data_HfCrBr2
_cell_length_a 6.404
_cell_length_b 6.404
_cell_length_c 10.487
_cell_angle_alpha 90.00
_cell_angle_beta 90.00
_cell_angle_gamma 90.00
_symmetry_space_group_name_H-M 'I -4 2 d'
_symmetry_Int_Tables_number 122
_symmetry_space_group_name_Hall 'I -4 2bw'
loop_
_atom_site_label
_atom_site_fract_x
_atom_site_fract_y
_atom_site_fract_z
Hf1 0.000 0.000 0.000
Cr1 0.000 0.000 0.500
Br1 0.231 0.250 0.625